# 1
# Pm2ScF PBE relaxed
# DFT total energy in eV/atom: -5.31
# Formation energy (no corrections) in eV per atom: -0.880
data_Pm2ScF
_space_group_name_H-M_alt 'R -3 m'
_space_group_IT_number 166
_space_group_name_Hall '-R 3 2"'
_cell_length_a 3.3175
_cell_length_b 3.3175
_cell_length_c 30.6338
_cell_angle_alpha 90.00
_cell_angle_beta 90.00
_cell_angle_gamma 120.00
loop_
_atom_site_label
_atom_site_type_symbol
_atom_site_fract_x
_atom_site_fract_y
_atom_site_fract_z
Pm1 Pm 0.0000 0.0000 0.1041
Sc1 Sc 0.0000 0.0000 0.0000
F1 F 0.0000 0.0000 0.5000


# 2
# PmSc2F PBE relaxed
# DFT total energy in eV/atom: -5.66
# Formation energy (no corrections) in eV per atom: -0.842
data_PmSc2F
_space_group_name_H-M_alt 'R -3 m'
_space_group_IT_number 166
_space_group_name_Hall '-R 3 2"'
_cell_length_a 3.4200
_cell_length_b 3.4200
_cell_length_c 26.4413
_cell_angle_alpha 90.00
_cell_angle_beta 90.00
_cell_angle_gamma 120.00
loop_
_atom_site_label
_atom_site_type_symbol
_atom_site_fract_x
_atom_site_fract_y
_atom_site_fract_z
Pm1 Pm 0.0000 0.0000 0.0000
Sc1 Sc 0.0000 0.0000 0.1202
F1 F 0.0000 0.0000 0.5000


# 3
# PmSc2F11 PBE relaxed
# DFT total energy in eV/atom: -6.05
# Formation energy (no corrections) in eV per atom: -3.334
data_PmSc2F11
_space_group_name_H-M_alt 'I b a m'
_space_group_IT_number 72
_space_group_name_Hall '-I 2 2c'
_cell_length_a 7.958
_cell_length_b 9.983
_cell_length_c 11.014
_cell_angle_alpha 90.00
_cell_angle_beta 90.00
_cell_angle_gamma 90.00
loop_
_atom_site_label
_atom_site_type_symbol
_atom_site_fract_x
_atom_site_fract_y
_atom_site_fract_z
Pm1 Pm 0.000 0.000 0.250
Sc1 Sc 0.154 0.312 0.000
F1 F 0.000 0.500 0.000
F2 F 0.109 0.178 0.136
F3 F 0.109 0.300 0.500
F4 F 0.221 0.081 0.372


# 4
# Pm2Se3F PBE relaxed
# DFT total energy in eV/atom: -5.68
# Formation energy (no corrections) in eV per atom: -2.046
data_Pm2Se3F
_space_group_name_H-M_alt 'R -3 c'
_space_group_IT_number 167
_space_group_name_Hall '-R 3 2"c'
_cell_length_a 8.0504
_cell_length_b 8.0504
_cell_length_c 16.9080
_cell_angle_alpha 90.00
_cell_angle_beta 90.00
_cell_angle_gamma 120.00
loop_
_atom_site_label
_atom_site_type_symbol
_atom_site_fract_x
_atom_site_fract_y
_atom_site_fract_z
Pm1 Pm 0.0000 0.0000 0.1308
Se1 Se 0.0000 0.2760 0.2500
F1 F 0.0000 0.0000 0.0000


# 5
# Pm3Se3F PBE relaxed
# DFT total energy in eV/atom: -5.77
# Formation energy (no corrections) in eV per atom: -1.976
data_Pm3Se3F
_space_group_name_H-M_alt 'R 3 m'
_space_group_IT_number 160
_space_group_name_Hall 'R 3 -2"'
_cell_length_a 9.8994
_cell_length_b 9.8994
_cell_length_c 5.9790
_cell_angle_alpha 90.00
_cell_angle_beta 90.00
_cell_angle_gamma 120.00
loop_
_atom_site_label
_atom_site_type_symbol
_atom_site_fract_x
_atom_site_fract_y
_atom_site_fract_z
Pm1 Pm 0.1934 0.3867 0.0000
Se1 Se 0.1989 0.3978 0.4939
F1 F 0.0000 0.0000 0.3354


# 6
# PmSeF3 PBE relaxed
# DFT total energy in eV/atom: -5.81
# Formation energy (no corrections) in eV per atom: -3.042
data_PmSeF3
_space_group_name_H-M_alt 'P b c m'
_space_group_IT_number 57
_cell_length_a 8.036
_cell_length_b 12.889
_cell_length_c 4.123
_cell_angle_alpha 90.00
_cell_angle_beta 90.00
_cell_angle_gamma 90.00
loop_
_space_group_symop_operation_xyz
'x,y,z'
'-x,-y,-z'
'-x,-y,z+1/2'
'x,y,-z+1/2'
'x,-y+1/2,-z'
'-x,y+1/2,z'
'-x,y+1/2,-z+1/2'
'x,-y+1/2,z+1/2'
loop_
_atom_site_label
_atom_site_type_symbol
_atom_site_fract_x
_atom_site_fract_y
_atom_site_fract_z
Pm1 Pm 0.128 0.111 0.250
Se1 Se 0.329 0.703 0.750
F1 F 0.104 0.002 0.750
F2 F 0.113 0.200 0.750
F3 F 0.382 0.088 0.250


# 7
# PmSeF2 PBE relaxed
# DFT total energy in eV/atom: -5.57
# Formation energy (no corrections) in eV per atom: -2.576
data_PmSeF2
_space_group_name_H-M_alt 'I m m 2'
_space_group_IT_number 44
_cell_length_a 3.210
_cell_length_b 4.019
_cell_length_c 13.618
_cell_angle_alpha 90.00
_cell_angle_beta 90.00
_cell_angle_gamma 90.00
loop_
_space_group_symop_operation_xyz
'x,y,z'
'-x,-y,z'
'-x,y,z'
'x,-y,z'
'x+1/2,y+1/2,z+1/2'
'-x+1/2,-y+1/2,z+1/2'
'-x+1/2,y+1/2,z+1/2'
'x+1/2,-y+1/2,z+1/2'
loop_
_atom_site_label
_atom_site_type_symbol
_atom_site_fract_x
_atom_site_fract_y
_atom_site_fract_z
Pm1 Pm 0.000 0.000 0.000
Se1 Se 0.000 0.500 0.687
F1 F 0.000 0.000 0.501
F2 F 0.000 0.500 0.386


# 8
# SrPmSe2F PBE relaxed
# DFT total energy in eV/atom: -5.54
# Formation energy (no corrections) in eV per atom: -2.483
data_SrPmSe2F
_space_group_name_H-M_alt 'P 4/n m m'
_space_group_IT_number 129
_cell_length_a 4.177
_cell_length_b 4.177
_cell_length_c 14.821
_cell_angle_alpha 90.00
_cell_angle_beta 90.00
_cell_angle_gamma 90.00
loop_
_space_group_symop_operation_xyz
'x,y,z'
'-x,-y,-z'
'-y+1/2,x,z'
'y+1/2,-x,-z'
'-x+1/2,-y+1/2,z'
'x+1/2,y+1/2,-z'
'y,-x+1/2,z'
'-y,x+1/2,-z'
'x+1/2,-y,-z'
'-x+1/2,y,z'
'-y,-x,-z'
'y,x,z'
'-x,y+1/2,-z'
'x,-y+1/2,z'
'y+1/2,x+1/2,-z'
'-y+1/2,-x+1/2,z'
loop_
_atom_site_label
_atom_site_type_symbol
_atom_site_fract_x
_atom_site_fract_y
_atom_site_fract_z
Sr1 Sr 0.250 0.250 0.095
Pm1 Pm 0.250 0.250 0.625
Se1 Se 0.250 0.250 0.408
Se2 Se 0.250 0.250 0.807
F1 F 0.250 0.750 0.000


# 9
# Pm3SiF PBE relaxed
# DFT total energy in eV/atom: -5.18
# Formation energy (no corrections) in eV per atom: -0.868
data_Pm3SiF
_space_group_name_H-M_alt 'C m c m'
_space_group_IT_number 63
_space_group_name_Hall '-C 2c 2'
_cell_length_a 7.327
_cell_length_b 16.129
_cell_length_c 5.442
_cell_angle_alpha 90.00
_cell_angle_beta 90.00
_cell_angle_gamma 90.00
loop_
_atom_site_label
_atom_site_type_symbol
_atom_site_fract_x
_atom_site_fract_y
_atom_site_fract_z
Pm1 Pm 0.000 0.000 0.000
Pm2 Pm 0.244 0.170 0.250
Si1 Si 0.000 0.175 0.750
F1 F 0.000 0.406 0.750


# 10
# PmSi2F8 PBE relaxed
# DFT total energy in eV/atom: -5.67
# Formation energy (no corrections) in eV per atom: -2.888
data_PmSi2F8
_space_group_name_H-M_alt 'C 1 2/m 1'
_space_group_IT_number 12
_cell_length_a 10.551
_cell_length_b 4.652
_cell_length_c 5.878
_cell_angle_alpha 90.00
_cell_angle_beta 100.48
_cell_angle_gamma 90.00
loop_
_space_group_symop_operation_xyz
'x,y,z'
'-x,-y,-z'
'-x,y,-z'
'x,-y,z'
'x+1/2,y+1/2,z'
'-x+1/2,-y+1/2,-z'
'-x+1/2,y+1/2,-z'
'x+1/2,-y+1/2,z'
loop_
_atom_site_label
_atom_site_type_symbol
_atom_site_fract_x
_atom_site_fract_y
_atom_site_fract_z
Pm1 Pm 0.000 0.000 0.000
Si1 Si 0.221 0.000 0.619
F1 F 0.085 0.000 0.384
F2 F 0.124 0.500 0.172
F3 F 0.152 0.241 0.783


# 11
# Pm2SiF2 PBE relaxed
# DFT total energy in eV/atom: -6.10
# Formation energy (no corrections) in eV per atom: -2.364
data_Pm2SiF2
_space_group_name_H-M_alt 'C 1 2/c 1'
_space_group_IT_number 15
_cell_length_a 9.479
_cell_length_b 7.796
_cell_length_c 6.995
_cell_angle_alpha 90.00
_cell_angle_beta 122.60
_cell_angle_gamma 90.00
loop_
_space_group_symop_operation_xyz
'x,y,z'
'-x,-y,-z'
'-x,y,-z+1/2'
'x,-y,z+1/2'
'x+1/2,y+1/2,z'
'-x+1/2,-y+1/2,-z'
'-x+1/2,y+1/2,-z+1/2'
'x+1/2,-y+1/2,z+1/2'
loop_
_atom_site_label
_atom_site_type_symbol
_atom_site_fract_x
_atom_site_fract_y
_atom_site_fract_z
Pm1 Pm 0.233 0.113 0.244
Si1 Si 0.000 0.164 0.750
F1 F 0.168 0.376 0.353


# 12
# Pm4Si2F3 PBE relaxed
# DFT total energy in eV/atom: -5.88
# Formation energy (no corrections) in eV per atom: -1.936
data_Pm4Si2F3
_space_group_name_H-M_alt 'C 1 2/m 1'
_space_group_IT_number 12
_cell_length_a 6.976
_cell_length_b 4.021
_cell_length_c 14.657
_cell_angle_alpha 90.00
_cell_angle_beta 90.96
_cell_angle_gamma 90.00
loop_
_space_group_symop_operation_xyz
'x,y,z'
'-x,-y,-z'
'-x,y,-z'
'x,-y,z'
'x+1/2,y+1/2,z'
'-x+1/2,-y+1/2,-z'
'-x+1/2,y+1/2,-z'
'x+1/2,-y+1/2,z'
loop_
_atom_site_label
_atom_site_type_symbol
_atom_site_fract_x
_atom_site_fract_y
_atom_site_fract_z
Pm1 Pm 0.012 0.000 0.332
Pm2 Pm 0.163 0.500 0.897
Si1 Si 0.174 0.500 0.214
F1 F 0.000 0.000 0.000
F2 F 0.154 0.500 0.596